Entry 1:
Material: PuGaAg3
Method: DFT, GGA-PBE
State: optimized geometry

Calculated values
Its space group is Pmn2_1, No. 31. The energy of formation is -0.018 eV per atom.

a b c (Å): 4.932 6.627 6.376
angles (deg): 90.00 90.00 90.00
Fractional positions:
Pu1 0.000 0.250 0.000
Pu2 0.500 0.750 0.500
Ga1 0.000 0.749 0.791
Ga2 0.500 0.251 0.291
Ag1 0.000 0.047 0.503
Ag2 0.000 0.453 0.502
Ag3 0.000 0.750 0.187
Ag4 0.500 0.250 0.687
Ag5 0.500 0.547 0.002
Ag6 0.500 0.953 0.003

=====

Entry 2:
Material: La5DyZn4
Method: DFT, GGA-PBE
State: optimized geometry

Calculated values
Its space group is P4/mmm, No. 123. The energy of formation is -0.238 eV per atom.

a b c (Å): 3.761 3.761 19.980
angles (deg): 90.00 90.00 90.00
Fractional positions:
La1 0.000 0.000 0.000
La2 0.000 0.000 0.188
La3 0.000 0.000 0.374
La4 0.000 0.000 0.626
La5 0.000 0.000 0.812
Dy1 0.500 0.500 0.500
Zn1 0.500 0.500 0.094
Zn2 0.500 0.500 0.283
Zn3 0.500 0.500 0.717
Zn4 0.500 0.500 0.906

=====

We obtain size of the total moment values of 11.22, 0.00 μB/cell for the records listed above, in that order.
We obtain DOS at the Fermi energy values of 3.1232, 1.2925 states/eV/atom for the records listed above, in that order.